The following is a DFT calculation (PBE-GGA) of BP after structural relaxation.

POSCAR file:
```
BP
1.0
-2.609 1.774 0.528
0.359 -1.526 -2.788
-2.478 -4.240 2.001
B P
2 2
direct
0.667 0.333 0.500
0.333 0.667 0.000
0.667 0.333 0.875
0.333 0.667 0.375
```

V, A^3/atom: 11.7
Formation energy from the elements, eV/atom: -0.3983
Symmetry: No. 186

=====

The following is a DFT calculation (PBE-GGA) of PrMnCl6 after structural relaxation.

POSCAR file:
```
PrMnCl6
1.0
6.753 0.021 0.213
3.382 5.464 0.158
3.554 1.865 6.079
Mn Pr Cl
1 1 6
direct
0.000 0.000 0.000
0.500 0.500 0.500
0.767 0.087 0.759
0.063 0.384 0.773
0.233 0.913 0.241
0.374 0.782 0.771
0.937 0.616 0.227
0.626 0.218 0.229
```

V, A^3/atom: 27.4
Uncorrected formation energy, eV/f.u.: -12.18
Symmetry: No. 2

=====

The following is a DFT calculation (PBE-GGA) of TmAlCu2 after structural relaxation.

POSCAR file:
```
TmAlCu2
1.0
5.638 0.000 0.000
0.000 6.608 0.000
0.000 0.000 7.357
Al Cu Tm
4 8 4
direct
0.341 0.750 0.616
0.159 0.750 0.116
0.659 0.250 0.384
0.841 0.250 0.884
0.415 0.945 0.322
0.585 0.055 0.678
0.415 0.555 0.322
0.085 0.945 0.822
0.585 0.445 0.678
0.915 0.055 0.178
0.085 0.555 0.822
0.915 0.445 0.178
0.341 0.250 0.039
0.659 0.750 0.961
0.159 0.250 0.539
0.841 0.750 0.461
```

V, A^3/atom: 17.1
Formation energy from the elements, eV/atom: -0.3345
Symmetry: No. 62

=====

The following is a DFT calculation (PBE-GGA) of PrDyYCu after structural relaxation.

POSCAR file:
```
PrDyYCu
1.0
3.540 0.000 0.000
0.000 3.540 0.000
0.000 0.000 8.777
Dy Pr Y Cu
1 1 1 1
direct
0.500 0.500 0.381
0.000 0.000 0.074
0.500 0.500 0.763
0.000 0.000 0.568
```

V, A^3/atom: 27.5
Formation energy from the elements, eV/atom: -0.1000
Symmetry: No. 99

=====

The following is a DFT calculation (PBE-GGA) of Ni2SbAs after structural relaxation.

POSCAR file:
```
Ni2SbAs
1.0
3.963 -0.007 0.010
2.671 2.928 0.010
1.328 0.585 5.560
Ni As Sb
2 1 1
direct
0.506 0.506 0.438
0.994 0.994 0.062
0.250 0.250 0.250
0.750 0.750 0.750
```

V, A^3/atom: 16.1
Uncorrected formation energy, eV/f.u.: -0.26
Symmetry: No. 12

=====

The following is a DFT calculation (PBE-GGA) of Ac5LaSn4 after structural relaxation.

POSCAR file:
```
Ac5LaSn4
1.0
-5.376 1.845 0.443
-0.779 -0.415 -7.730
0.678 -8.789 8.147
Sn Ac La
4 5 1
direct
0.992 0.741 0.984
0.008 0.259 0.016
0.325 0.900 0.651
0.675 0.100 0.349
0.836 0.167 0.672
0.164 0.833 0.328
0.500 0.500 0.000
0.166 0.325 0.332
0.834 0.675 0.668
0.500 0.000 0.000
```

V, A^3/atom: 38.9
Formation energy from the elements, eV/atom: -0.5320
Symmetry: No. 12

=====

The following is a DFT calculation (PBE-GGA) of CaHoCuAg after structural relaxation.

POSCAR file:
```
CaHoCuAg
1.0
-2.502 3.540 2.605
-5.047 -0.166 0.287
-2.246 -1.192 4.372
Ca Ho Ag Cu
1 1 1 1
direct
0.500 0.500 0.500
0.000 0.000 0.000
0.750 0.750 0.750
0.250 0.250 0.250
```

V, A^3/atom: 22.9
Formation energy from the elements, eV/atom: -0.1979
Symmetry: No. 216

=====

The following is a DFT calculation (PBE-GGA) of Mg2TeOs after structural relaxation.

POSCAR file:
```
Mg2TeOs
1.0
-0.508 4.396 0.593
-3.964 -0.182 -2.046
-1.654 -0.631 3.262
Te Os Mg
1 1 2
direct
0.000 0.500 0.500
0.500 0.000 0.500
0.000 0.000 0.000
0.500 0.500 0.000
```

V, A^3/atom: 18.5
Uncorrected formation energy, eV/f.u.: 0.81
Symmetry: No. 123

=====

The following is a DFT calculation (PBE-GGA) of BaScOs2 after structural relaxation.

POSCAR file:
```
BaScOs2
1.0
-3.152 1.196 -0.742
-1.911 -2.890 3.461
0.578 3.571 3.301
Os Sc Ba
2 1 1
direct
0.000 0.500 0.500
0.000 0.000 0.000
0.500 0.500 0.000
0.500 0.000 0.500
```

V, A^3/atom: 20.7
E above lowest polymorph, kJ/mol of atoms: 80.28
Formation energy from the elements, eV/atom: 0.9655
Symmetry: No. 123

=====

The following is a DFT calculation (PBE-GGA) of BiAuI after structural relaxation.

POSCAR file:
```
BiAuI
1.0
-6.482 2.379 4.439
0.688 -4.468 -0.261
7.820 -0.381 2.320
Bi Au I
2 2 2
direct
0.288 0.642 0.836
0.712 0.358 0.164
0.543 0.698 0.265
0.457 0.302 0.735
0.831 0.829 0.694
0.169 0.171 0.306
```

V, A^3/atom: 35.5
E above lowest polymorph, kJ/mol of atoms: 6.44
Uncorrected formation energy, eV/f.u.: -0.23
Symmetry: No. 2

=====

The following is a DFT calculation (PBE-GGA) of Co3BrCl after structural relaxation.

POSCAR file:
```
Co3BrCl
1.0
4.527 0.000 0.000
0.000 4.527 0.000
0.000 0.000 4.527
Cl Br Co
1 1 3
direct
0.500 0.500 0.500
0.000 0.000 0.000
0.000 0.000 0.500
0.500 0.000 0.000
0.000 0.500 0.000
```

V, A^3/atom: 18.6
E above lowest polymorph, kJ/mol of atoms: 18.10
Uncorrected formation energy, eV/f.u.: 5.51
Symmetry: No. 221

=====

The following is a DFT calculation (PBE-GGA) of Nb2VCuSi after structural relaxation.

POSCAR file:
```
Nb2VCuSi
1.0
-2.147 -4.181 -0.019
3.605 -1.849 -0.367
0.368 -0.210 4.681
Nb V Si Cu
2 1 1 1
direct
0.500 0.000 0.000
0.000 0.000 0.500
0.500 0.500 0.500
0.000 0.500 0.000
0.000 0.000 0.000
```

V, A^3/atom: 18.0
Uncorrected formation energy, eV/f.u.: 4.68
Symmetry: No. 123